Na2OsO2: optimized geometry, PBE.

a b c (Å): 4.119 4.119 4.714
angles (deg): 64.09 64.09 90.00
Last column: magnetic moment on the atom in μB.
Atoms (fractional coordinates):
1 Os 0.000 0.000 0.000  1.74
2 O 0.750 0.250 0.500  0.03
3 Na 0.354 0.354 0.291  0.00
4 O 0.250 0.750 0.500  0.03
5 Na 0.646 0.646 0.709  0.00

As for the uncorrected formation energy: 556 meV per atom. The space-group type is I4/mmm, No. 139. Its total magnetic moment is 2.0 μB/f.u. As for the crystal system: tetragonal.

=====

ZrMn2P: optimized geometry, PBE.

a b c (Å): 3.895 3.347 4.734
angles (deg): 72.77 90.00 90.00
Last column: magnetic moment on the atom in μB.
Atoms (fractional coordinates):
1 Mn 0.500 0.396 0.223  0.60
2 Mn 0.000 0.014 0.094  2.74
3 Zr 0.500 0.754 0.690  -0.14
4 P 0.000 0.336 0.493  -0.04

The space-group type is Pm, No. 6. Its total magnetic moment is 3.2 μB/f.u. The value obtained for the formation energy is -341 meV per atom. As for the crystal system: monoclinic.

=====

Al3SiPd: optimized geometry, PBE.

a b c (Å): 4.698 4.698 4.698
angles (deg): 90.00 90.00 90.00
Atoms (fractional coordinates):
1 Al 0.500 0.000 0.000
2 Al 0.000 0.000 0.500
3 Pd 0.500 0.500 0.500
4 Al 0.000 0.500 0.000
5 Si 0.000 0.000 0.000

As for the uncorrected formation energy: 587 meV per atom. The space-group type is Pm-3m, No. 221. Its total magnetic moment is 0.0 μB/f.u. As for the crystal system: cubic.

=====

Hf6H2C3N: optimized geometry, PBE.

a b c (Å): 5.669 5.669 5.618
angles (deg): 99.82 99.82 120.04
Atoms (fractional coordinates):
1 H 0.337 0.663 0.000
2 Hf 0.765 0.765 0.255
3 Hf 0.087 0.409 0.264
4 Hf 0.409 0.087 0.264
5 Hf 0.591 0.913 0.736
6 C 0.500 0.500 0.500
7 C 0.166 0.834 0.500
8 Hf 0.235 0.235 0.745
9 H 0.663 0.337 0.000
10 Hf 0.913 0.591 0.736
11 C 0.834 0.166 0.500
12 N 0.000 0.000 0.000

As for the total energy: -9.474 eV/atom. The space-group type is C2/m, No. 12. Its total magnetic moment is 0.0 μB/f.u. As for the crystal system: monoclinic.

=====

BaNa2Cl2: optimized geometry, PBE.

a b c (Å): 8.270 8.270 5.879
angles (deg): 90.00 90.00 90.00
Atoms (fractional coordinates):
1 Ba 0.500 0.500 0.000
2 Na 0.180 0.320 0.500
3 Ba 0.000 0.000 0.000
4 Na 0.680 0.180 0.500
5 Cl 0.827 0.673 0.000
6 Na 0.820 0.680 0.500
7 Na 0.320 0.820 0.500
8 Cl 0.673 0.173 0.000
9 Cl 0.327 0.827 0.000
10 Cl 0.173 0.327 0.000

As for the uncorrected formation energy: -1292 meV per atom. The space-group type is P4/mbm, No. 127. Its total magnetic moment is 0.0 μB/f.u. As for the crystal system: tetragonal.

=====

Hf3HgMo: optimized geometry, PBE.

a b c (Å): 5.098 5.098 5.098
angles (deg): 90.00 90.00 90.00
Atoms (fractional coordinates):
1 Hg 0.000 0.000 0.000
2 Mo 0.500 0.500 0.500
3 Hf 0.000 0.500 0.000
4 Hf 0.000 0.000 0.500
5 Hf 0.500 0.000 0.000

The space-group type is Pm-3m, No. 221. Its total magnetic moment is 0.0 μB/f.u. The value obtained for the formation energy is 1664 meV per atom. As for the crystal system: cubic.

=====

Which of these has the highest total magnetic moment? ZrMn2P

=====

Among the records above, which one has the highest total magnetic moment? ZrMn2P

=====

total magnetic moment of number 4 (Hf6H2C3N)? 0.0 μB/f.u.

=====

Number 2 is which compound? ZrMn2P